# 1
Ga2TeAu2, optimized geometry, DFT GGA-PBE; energy above the lowest structure with this stoichiometry = 0.000 eV/atom
1.0
4.1484 0.0000 0.0000
0.0000 4.1484 0.0000
2.0742 2.0742 6.1732
Au Ga Te
2 2 1
direct
0.3861 0.3861 0.2277
0.6139 0.6139 0.7723
0.7500 0.2500 0.5000
0.2500 0.7500 0.5000
0.0000 0.0000 0.0000

# 2
## GaTe2Au (GGA-PBE)

Data for an optimized crystal structure of GaTe2Au.

The structure in POSCAR format:
```
GaTe2Au
1.0
1.5238 -11.4437 0.0000
1.5238 11.4437 0.0000
0.0000 0.0000 5.7534
Au Te Ga
2 4 2
direct
0.3146 0.6854 0.2500
0.6854 0.3146 0.7500
0.1908 0.8092 0.2500
0.0653 0.9347 0.7500
0.9347 0.0653 0.2500
0.8092 0.1908 0.7500
0.9375 0.0625 0.7500
0.0625 0.9375 0.2500
```

# 3
## GaTe2Au (GGA-PBE)

Data for an optimized crystal structure of GaTe2Au.

The structure in POSCAR format:
```
GaTe2Au
1.0
4.0733 0.0000 0.0000
2.0366 3.5276 0.0000
2.0366 1.1759 7.1815
Au Te Ga
1 2 1
direct
0.6686 0.6686 0.9943
0.0767 0.0767 0.7700
0.2536 0.2536 0.2392
0.5012 0.5012 0.4965
```

# 4
## GaTe2Au (GGA-PBE)

Data for an optimized crystal structure of GaTe2Au.

The structure in POSCAR format:
```
GaTe2Au
1.0
-5.0554 -3.9615 -2.0318
1.0362 -3.1336 -7.4072
7.3715 -2.9657 -1.6202
Au Te Ga
2 4 2
direct
0.2500 0.7730 0.2730
0.7500 0.2270 0.7270
0.1967 0.1834 0.1104
0.8033 0.8166 0.8896
0.3033 0.6104 0.6834
0.6967 0.3896 0.3166
0.7500 0.9848 0.4848
0.2500 0.0152 0.5152
```

# 5
## GaTe2Au (GGA-PBE)

Data for an optimized crystal structure of GaTe2Au.

The structure in POSCAR format:
```
GaTe2Au
1.0
-3.1657 5.5761 -3.2560
-4.7932 -5.2735 -3.4490
-2.4321 0.3593 3.4647
Ga Au Te
2 2 4
direct
0.4467 0.0652 0.9438
0.2686 0.6845 0.3814
0.6186 0.6263 0.3260
0.4962 0.3832 0.7765
0.1457 0.5021 0.8460
0.7170 0.2863 0.3002
0.7020 0.8338 0.8590
0.2017 0.0126 0.4097
```

# 6
## GaTe2Au (GGA-PBE)

Data for an optimized crystal structure of GaTe2Au.

The structure in POSCAR format:
```
GaTe2Au
1.0
7.7286 -0.1540 -0.2940
-0.5835 8.1426 0.4703
-0.3654 1.6256 4.0908
Au Te Ga
2 4 2
direct
0.6109 0.3418 0.5192
0.4737 0.6839 0.9283
0.5150 0.1488 0.1384
0.2636 0.6346 0.4411
0.0158 0.0948 0.5056
0.8043 0.6514 0.2436
0.1943 0.9796 0.1392
0.7187 0.8590 0.5330
```

# 7
## GaTe2Au (GGA-PBE)

Data for an optimized crystal structure of GaTe2Au.

The structure in POSCAR format:
```
GaTe2Au
1.0
8.8199 0.0000 0.0000
0.0000 8.8199 0.0000
4.4099 4.4099 2.8061
Ga Au Te
2 2 4
direct
0.2500 0.2500 0.5000
0.7500 0.7500 0.5000
0.7500 0.2500 0.5000
0.2500 0.7500 0.5000
0.2010 0.7010 0.0000
0.7010 0.7990 0.0000
0.2990 0.2010 0.0000
0.7990 0.2990 0.0000
```

# 8
## GaTe2Au (GGA-PBE)

Data for an optimized crystal structure of GaTe2Au.

The structure in POSCAR format:
```
GaTe2Au
1.0
8.5949 0.0275 -0.0095
-3.2239 6.7312 -0.0052
-1.1287 -0.5380 4.2403
Ga Te Au
2 4 2
direct
0.2005 0.2753 0.3356
0.2115 0.7774 0.8408
0.8601 0.5560 0.6670
0.8488 0.1617 0.1614
0.3675 0.6937 0.4189
0.3503 0.1858 0.9105
0.7634 0.9286 0.6189
0.8242 0.7402 0.1492
```

# 9
## GaTe2Au (GGA-PBE)

Data for an optimized crystal structure of GaTe2Au.

The structure in POSCAR format:
```
GaTe2Au
1.0
6.9964 0.0000 1.2361
1.7884 2.0757 -3.1231
-1.7884 2.0757 3.1231
Te Au Ga
2 1 1
direct
0.2479 0.2518 0.7482
0.7521 0.7482 0.2518
0.0000 0.0000 0.0000
0.5000 0.5000 0.5000
```

# 10
## GaTe2Au (GGA-PBE)

Data for an optimized crystal structure of GaTe2Au.

The structure in POSCAR format:
```
GaTe2Au
1.0
0.0666 3.9159 -1.3050
-3.4458 -1.5693 1.6447
2.2390 2.2363 6.8244
Au Ga Te
1 1 2
direct
0.3333 0.6667 0.4366
0.0000 0.0000 0.9842
0.6667 0.3333 0.2419
0.3333 0.6667 0.7924
```

# 11
## GaTe4Au3 (GGA-PBE)

Data for an optimized crystal structure of GaTe4Au3.

The structure in POSCAR format:
```
GaTe4Au3
1.0
-4.7766 5.1231 2.4242
-5.6166 -3.4185 -3.8423
-1.7713 -4.9686 7.0099
Te Ga Au
8 2 6
direct
0.1297 0.8340 0.0000
0.1387 0.8302 0.5000
0.6297 0.1660 0.5000
0.1279 0.3312 0.7508
0.1279 0.3312 0.2492
0.6279 0.6688 0.7492
0.6279 0.6688 0.2508
0.6387 0.1698 0.0000
0.5041 0.8336 0.5000
0.0041 0.1664 0.0000
0.4954 0.3324 0.2494
0.4960 0.8413 0.0000
0.9954 0.6676 0.7494
0.4954 0.3324 0.7506
0.9954 0.6676 0.2506
0.9960 0.1587 0.5000
```

# 12
## GaTe6Au (GGA-PBE)

Data for an optimized crystal structure of GaTe6Au.

The structure in POSCAR format:
```
GaTe6Au
1.0
7.2132 0.0099 0.0020
3.5994 6.2555 0.0040
3.6051 2.0903 5.0698
Au Te Ga
1 6 1
direct
0.0000 0.0000 0.0000
0.2374 0.9557 0.2580
0.4504 0.7630 0.7417
0.0445 0.4507 0.7413
0.9555 0.5493 0.2587
0.5496 0.2370 0.2583
0.7625 0.0443 0.7420
0.5000 0.5000 0.5000
```

# 13
## GaTe2Au (GGA-PBE)

Data for an optimized crystal structure of GaTe2Au.

The structure in POSCAR format:
```
GaTe2Au
1.0
7.4547 0.1431 -0.1193
-0.3763 7.6612 0.0702
0.1336 0.1385 4.3474
Te Ga Au
4 2 2
direct
0.7729 0.2953 0.2476
0.7770 0.8368 0.8445
0.3081 0.0685 0.7193
0.2785 0.5762 0.1982
0.0562 0.4813 0.7424
0.4143 0.2588 0.2030
0.9629 0.1548 0.7800
0.8563 0.6470 0.3674
```

# 14
Ga3TeAu, optimized geometry, DFT GGA-PBE; energy above the lowest structure with this stoichiometry = 0.000 eV/atom
1.0
5.0176 0.0000 0.0000
0.0000 5.0176 0.0000
0.0000 0.0000 5.0176
Ga Te Au
3 1 1
direct
0.5000 0.0000 0.0000
0.0000 0.5000 0.0000
0.0000 0.0000 0.5000
0.5000 0.5000 0.5000
0.0000 0.0000 0.0000

# 15
## Ga2Te4Au (GGA-PBE)

Data for an optimized crystal structure of Ga2Te4Au.

The structure in POSCAR format:
```
Ga2Te4Au
1.0
-2.7520 -3.0568 4.1420
1.3503 -4.9609 -2.7640
5.5739 -0.3871 3.4177
Ga Te Au
2 4 1
direct
0.5000 0.0000 0.5000
0.0000 0.5000 0.5000
0.2714 0.7286 0.7564
0.2714 0.2714 0.2436
0.7286 0.7286 0.2436
0.7286 0.2714 0.7564
0.0000 0.0000 0.0000
```

# 16
Ga2TeAu2, optimized geometry, DFT GGA-PBE; energy above the lowest structure with this stoichiometry = 0.089 eV/atom
1.0
8.2757 0.0000 0.0000
0.0000 8.2757 0.0000
0.0000 0.0000 3.0484
Au Ga Te
4 4 2
direct
0.3814 0.1186 0.5000
0.1186 0.6186 0.5000
0.8814 0.3814 0.5000
0.6186 0.8814 0.5000
0.8139 0.6861 0.0000
0.6861 0.1861 0.0000
0.3139 0.8139 0.0000
0.1861 0.3139 0.0000
0.5000 0.5000 0.0000
0.0000 0.0000 0.0000

# 17
## GaTe2Au (GGA-PBE)

Data for an optimized crystal structure of GaTe2Au.

The structure in POSCAR format:
```
GaTe2Au
1.0
-10.9636 2.2213 18.5468
1.0756 -3.7695 1.0873
8.6248 0.9940 -5.0863
Te Ga Au
8 4 4
direct
0.6352 0.7500 0.8625
0.8648 0.2500 0.6375
0.4547 0.2500 0.8129
0.0453 0.7500 0.6871
0.5453 0.7500 0.1870
0.3648 0.2500 0.1375
0.9547 0.2500 0.3130
0.1352 0.7500 0.3625
0.8892 0.7500 0.8638
0.3892 0.7500 0.3638
0.6108 0.2500 0.6362
0.1108 0.2500 0.1362
0.2009 0.2500 0.0691
0.2991 0.7500 0.4309
0.7009 0.2500 0.5691
0.7991 0.7500 0.9309
```

# 18
## GaTe2Au (GGA-PBE)

Data for an optimized crystal structure of GaTe2Au.

The structure in POSCAR format:
```
GaTe2Au
1.0
-1.2600 -7.9362 -0.3121
1.5829 -0.1024 -3.7865
13.5518 -2.3768 5.7293
Au Te Ga
4 8 4
direct
0.6786 0.2500 0.2486
0.3214 0.7500 0.7514
0.8214 0.7500 0.7486
0.1786 0.2500 0.2514
0.9303 0.7500 0.2377
0.0697 0.2500 0.7623
0.5697 0.2500 0.7377
0.7740 0.2500 0.4924
0.2740 0.2500 0.0076
0.4303 0.7500 0.2623
0.7260 0.7500 0.9924
0.2260 0.7500 0.5076
0.4363 0.7500 0.0862
0.5637 0.2500 0.9138
0.9363 0.7500 0.4138
0.0637 0.2500 0.5862
```

# 19
## GaTe2Au (GGA-PBE)

Data for an optimized crystal structure of GaTe2Au.

The structure in POSCAR format:
```
GaTe2Au
1.0
7.4124 0.0244 -0.0005
-0.0490 7.4568 -0.0001
-0.0001 0.0000 4.3667
Ga Te Au
2 4 2
direct
0.0611 0.4787 0.7629
0.4165 0.2164 0.2630
0.3105 0.0287 0.7630
0.2748 0.5459 0.2629
0.7743 0.2846 0.2627
0.7851 0.7094 0.7626
0.9625 0.1427 0.7626
0.8415 0.9123 0.2626
```

# 20
GaTeAu2, optimized geometry, DFT GGA-PBE; energy above the lowest structure with this stoichiometry = 0.014 eV/atom
1.0
-2.8321 -2.1049 3.2239
2.4111 -4.0898 -0.5522
5.0431 -0.8237 7.4356
Ga Au Te
2 4 2
direct
0.2500 0.7500 0.5000
0.5000 0.5000 0.0000
0.8750 0.8133 0.7500
0.5633 0.1250 0.2500
0.1867 0.6250 0.2500
0.3750 0.4367 0.7500
0.0000 0.0000 0.0000
0.7500 0.2500 0.5000

# 21
GaTeAu3, optimized geometry, DFT GGA-PBE; energy above the lowest structure with this stoichiometry = 0.000 eV/atom
1.0
4.9283 0.0000 0.0000
0.0000 4.9283 0.0000
0.0000 0.0000 4.9283
Te Au Ga
1 3 1
direct
0.5000 0.5000 0.5000
0.5000 0.0000 0.0000
0.0000 0.5000 0.0000
0.0000 0.0000 0.5000
0.0000 0.0000 0.0000

# 22
## Ga4Te7Au (GGA-PBE)

Data for an optimized crystal structure of Ga4Te7Au.

The structure in POSCAR format:
```
Ga4Te7Au
1.0
-2.0939 6.5869 -1.4757
1.1816 -1.2809 -7.3940
-14.8763 -5.0650 -1.4998
Te Au Ga
14 2 8
direct
0.9349 0.6483 0.3914
0.9625 0.1596 0.2310
0.4625 0.8404 0.7310
0.9845 0.1241 0.5000
0.4582 0.3819 0.6392
0.4349 0.3517 0.1086
0.4845 0.8759 0.0000
0.9349 0.6483 0.6086
0.4349 0.3517 0.8914
0.4625 0.8404 0.2690
0.4582 0.3819 0.3608
0.9625 0.1596 0.7690
0.9582 0.6181 0.1392
0.9582 0.6181 0.8608
0.1350 0.7399 0.0000
0.6350 0.2601 0.5000
0.5853 0.6700 0.8717
0.0768 0.8293 0.2619
0.5768 0.1707 0.7619
0.0768 0.8293 0.7381
0.0853 0.3300 0.6283
0.0853 0.3300 0.3717
0.5768 0.1707 0.2381
0.5853 0.6700 0.1283
```

# 23
## GaTe2Au (GGA-PBE)

Data for an optimized crystal structure of GaTe2Au.

The structure in POSCAR format:
```
GaTe2Au
1.0
8.3760 0.1960 0.2965
-3.4564 7.1385 0.0230
0.9115 0.4288 4.0999
Te Au Ga
4 2 2
direct
0.8783 0.5964 0.8494
0.3881 0.6844 0.0958
0.3509 0.1535 0.6145
0.8677 0.2230 0.3550
0.7311 0.9757 0.9236
0.8405 0.7958 0.3683
0.1287 0.1135 0.2260
0.2410 0.7763 0.6697
```

# 24
## TlGa2Te4Au (GGA-PBE)

Data for an optimized crystal structure of TlGa2Te4Au.

The structure in POSCAR format:
```
TlGa2Te4Au
1.0
6.8616 0.0000 0.0000
3.4308 5.9044 -0.6735
3.4308 -0.0155 5.9426
Te Tl Ga Au
4 1 2 1
direct
0.4081 0.0867 0.4674
0.0377 0.4674 0.0867
0.5919 0.5326 0.9133
0.9623 0.9133 0.5326
0.0000 0.0000 0.0000
0.5000 0.3474 0.6526
0.5000 0.6526 0.3474
0.0000 0.5000 0.5000
```

Calculated density of states at the Fermi level in order - 0.495 0.511 0.735 0.005 0.505 0.000 0.019 0.192 0.586 0.426 0.665 0.518 0.040 0.067 0.663 0.384 0.391 0.389 0.101 0.439 0.848 0.158 0.247 0.702 states/eV per atom
Calculated energy relative to the elements, uncorrected in order - -1.77 2.06 -0.84 -2.52 -3.69 -4.21 0.56 -4.47 -2.78 -2.35 -2.77 2.05 -4.15 -1.69 -5.28 0.29 -2.84 -3.83 -4.77 -1.48 9.41 -5.51 -3.96 -1.03 kcal/mol of atoms
Calculated final energy in order - -16.1 -24.5 -12.7 -26.0 -26.5 -26.6 -25.0 -26.7 -13.1 -13.0 -52.8 -24.4 -26.6 -15.9 -23.5 -31.4 -52.3 -53.0 -26.8 -26.0 -14.0 -80.5 -26.5 -24.6 eV for the cell shown